# 1
DFT (PBE-GGA) results for LiAcAsN2 after structural relaxation.

POSCAR file:
```
LiAcAsN2
1.0
4.211 0.000 0.000
0.000 5.971 0.311
0.000 -1.479 6.360
Li Ac As N
2 2 2 4
Direct
0.483 0.000 0.250
0.517 0.000 0.750
0.245 0.500 0.750
0.755 0.500 0.250
0.000 0.000 0.000
0.000 0.000 0.500
0.706 0.738 0.947
0.706 0.262 0.553
0.294 0.738 0.447
0.294 0.262 0.053
```

## Properties
Uncorrected formation energy: -264 meV per atom
D(E_F): 0.71 states/eV per atom

***

# 2
DFT (PBE-GGA) results for Li2AcAsN after structural relaxation.

POSCAR file:
```
Li2AcAsN
1.0
-4.687 -0.197 4.292
0.340 -6.349 0.079
5.389 3.489 1.335
Li Ac As N
4 2 2 2
Direct
0.333 0.833 0.000
0.833 0.667 0.000
0.667 0.167 0.000
0.167 0.333 0.000
0.750 0.750 0.500
0.250 0.250 0.500
0.750 0.250 0.500
0.250 0.750 0.500
0.000 0.000 0.000
0.500 0.500 0.000
```

## Properties
Uncorrected formation energy: -686 meV per atom
D(E_F): 0.76 states/eV per atom

***

Number 1: total moment 0.0 μB per formula unit. Number 2: total moment 0.0 μB per formula unit.